1.
Compound: Rb2Zn
Source: OQMD
Functional: GGA-PBE
Structure: relaxed

Output
Space-group type ... Fd-3m
Crystal system ... cubic
V ... 66.798 A^3/atom
Uncorrected energy ... -0.6398 eV per atom

Cell lengths 8.276, 8.276, 8.276 Å; angles 60.00, 60.00, 60.00 degrees
Element x y z (fractional)
Rb 0.125 0.625 0.625
Rb 0.625 0.625 0.125
Rb 0.625 0.125 0.625
Rb 0.625 0.625 0.625
Zn 0.250 0.250 0.250
Zn 0.000 0.000 0.000


2.
Compound: RbZn8
Source: OQMD
Functional: GGA-PBE
Structure: relaxed

Output
Space-group type ... Fddd
Crystal system ... orthorhombic
V ... 19.380 A^3/atom
Uncorrected energy ... -1.1272 eV per atom

Cell lengths 13.642, 13.319, 5.322 Å; angles 82.05, 75.22, 22.73 degrees
Element x y z (fractional)
Rb 0.250 0.250 0.250
Rb 0.000 0.000 0.000
Zn 0.232 0.672 0.472
Zn 0.305 0.445 0.899
Zn 0.472 0.623 0.232
Zn 0.945 0.805 0.351
Zn 0.899 0.352 0.305
Zn 0.445 0.305 0.352
Zn 0.623 0.472 0.672
Zn 0.778 0.627 0.018
Zn 0.018 0.578 0.778
Zn 0.627 0.778 0.578
Zn 0.898 0.351 0.805
Zn 0.351 0.898 0.945
Zn 0.352 0.899 0.445
Zn 0.672 0.232 0.623
Zn 0.578 0.018 0.627
Zn 0.805 0.945 0.898


3.
Compound: Rb3Zn4
Source: OQMD
Functional: GGA-PBE
Structure: relaxed

Output
Space-group type ... Pm
Crystal system ... monoclinic
V ... 35.719 A^3/atom
Uncorrected energy ... -0.9827 eV per atom

Cell lengths 11.018, 11.018, 4.758 Å; angles 90.00, 90.00, 59.96 degrees
Element x y z (fractional)
Zn 0.887 0.220 0.500
Zn 0.732 0.345 0.000
Zn 0.095 0.524 0.500
Zn 0.638 0.161 0.000
Zn 0.792 0.036 0.500
Zn 0.428 0.858 0.000
Zn 0.917 0.066 0.000
Zn 0.608 0.315 0.500
Rb 0.435 0.108 0.500
Rb 0.172 0.863 0.500
Rb 0.679 0.601 0.500
Rb 0.089 0.274 0.000
Rb 0.845 0.780 0.000
Rb 0.352 0.517 0.000


4.
Compound: RbZn14
Source: OQMD
Functional: GGA-PBE
Structure: relaxed

Output
Space-group type ... R-3m
Crystal system ... trigonal
V ... 20.695 A^3/atom
Uncorrected energy ... -1.0222 eV per atom

Cell lengths 6.771, 6.771, 6.771 Å; angles 89.59, 89.59, 89.59 degrees
Element x y z (fractional)
Zn 0.638 0.362 0.000
Zn 0.000 0.638 0.362
Zn 0.129 0.720 0.720
Zn 0.638 0.000 0.362
Zn 0.362 0.638 0.000
Zn 0.362 0.000 0.638
Zn 0.280 0.280 0.871
Zn 0.720 0.129 0.720
Zn 0.720 0.720 0.129
Zn 0.000 0.362 0.638
Zn 0.871 0.280 0.280
Zn 0.280 0.871 0.280
Zn 0.233 0.233 0.233
Zn 0.767 0.767 0.767
Rb 0.500 0.500 0.500


5.
Compound: RbZn4
Source: OQMD
Functional: GGA-PBE
Structure: relaxed

Output
Space-group type ... I4/mmm
Crystal system ... tetragonal
V ... 22.795 A^3/atom
Uncorrected energy ... -1.1023 eV per atom

Cell lengths 6.413, 6.413, 6.413 Å; angles 138.65, 138.65, 59.91 degrees
Element x y z (fractional)
Zn 0.750 0.250 0.500
Zn 0.250 0.750 0.500
Zn 0.627 0.627 0.000
Zn 0.373 0.373 0.000
Rb 0.000 0.000 0.000


6.
Compound: RbZn5
Source: OQMD
Functional: GGA-PBE
Structure: relaxed

Output
Space-group type ... P6/mmm
Crystal system ... hexagonal
V ... 20.420 A^3/atom
Uncorrected energy ... -1.1361 eV per atom

Cell lengths 5.742, 5.742, 4.291 Å; angles 90.00, 90.00, 59.99 degrees
Element x y z (fractional)
Zn 0.667 0.667 0.000
Zn 0.500 0.000 0.500
Zn 0.500 0.500 0.500
Zn 0.333 0.333 0.000
Zn 0.000 0.500 0.500
Rb 0.000 0.000 0.000


7.
Compound: Rb3Zn4
Source: OQMD
Functional: GGA-PBE
Structure: relaxed

Output
Space-group type ... Pm
Crystal system ... monoclinic
V ... 37.146 A^3/atom
Uncorrected energy ... -0.8669 eV per atom

Cell lengths 10.323, 10.330, 5.625 Å; angles 90.00, 90.00, 60.10 degrees
Element x y z (fractional)
Rb 0.232 0.558 0.000
Rb 0.415 0.924 0.000
Rb 0.720 0.680 0.500
Rb 0.537 0.314 0.500
Rb 0.781 0.375 0.000
Rb 0.171 0.863 0.500
Zn 0.015 0.253 0.500
Zn 0.110 0.446 0.500
Zn 0.649 0.080 0.000
Zn 0.937 0.985 0.000
Zn 0.303 0.158 0.500
Zn 0.143 0.286 0.000
Zn 0.810 0.952 0.500
Zn 0.842 0.793 0.000


8.
Compound: RbZrZn
Source: OQMD
Functional: GGA-PBE
Structure: relaxed

Output
Space-group type ... F-43m
Crystal system ... cubic
V ... 29.305 A^3/atom
Uncorrected energy ... -1.8879 eV per atom

Cell lengths 4.991, 4.991, 4.991 Å; angles 60.00, 60.00, 60.00 degrees
Element x y z (fractional)
Zr 0.750 0.750 0.750
Zn 0.250 0.250 0.250
Rb 0.000 0.000 0.000


9.
Compound: RbZrZn
Source: OQMD
Functional: GGA-PBE
Structure: relaxed

Output
Space-group type ... F-43m
Crystal system ... cubic
V ... 32.494 A^3/atom
Uncorrected energy ... -2.4040 eV per atom

Cell lengths 5.166, 5.166, 5.166 Å; angles 60.00, 60.00, 60.00 degrees
Element x y z (fractional)
Zn 0.000 0.000 0.000
Rb 0.250 0.250 0.250
Zr 0.750 0.750 0.750


10.
Compound: RbZr
Source: OQMD
Functional: GGA-PBE
Structure: relaxed

Output
Space-group type ... P6_3/mmc
Crystal system ... hexagonal
V ... 44.067 A^3/atom
Uncorrected energy ... -2.4867 eV per atom

Cell lengths 5.753, 5.753, 6.150 Å; angles 90.00, 90.00, 120.00 degrees
Last column: magnetic moment on the atom in μB.
Element x y z (fractional)
Rb 0.000 0.000 0.500  0.07
Rb 0.000 0.000 0.000  0.08
Zr 0.667 0.333 0.250  1.47
Zr 0.333 0.667 0.750  1.47


11.
Compound: RbZr
Source: OQMD
Functional: GGA-PBE
Structure: relaxed

Output
Space-group type ... P-6m2
Crystal system ... hexagonal
V ... 33.444 A^3/atom
Uncorrected energy ... -3.6844 eV per atom

Cell lengths 3.317, 3.317, 7.021 Å; angles 90.00, 90.00, 120.00 degrees
Last column: magnetic moment on the atom in μB.
Element x y z (fractional)
Rb 0.667 0.333 0.750  0.04
Zr 0.333 0.667 0.250  0.29


12.
Compound: RbZr
Source: OQMD
Functional: GGA-PBE
Structure: relaxed

Output
Space-group type ... Pmm2
Crystal system ... orthorhombic
V ... 44.471 A^3/atom
Uncorrected energy ... -4.2515 eV per atom

Cell lengths 20.040, 3.381, 5.251 Å; angles 90.00, 90.00, 90.00 degrees
Element x y z (fractional)
Zr 0.983 0.000 0.000
Zr 0.934 0.500 0.500
Zr 0.858 0.500 0.000
Zr 0.059 0.000 0.500
Rb 0.367 0.500 0.500
Rb 0.549 0.000 0.000
Rb 0.732 0.000 0.500
Rb 0.184 0.500 0.000